Record 1
VASP calculation (PBE) on an optimized crystal structure of Er2ZnGa3Pt4.

Geometry as POSCAR:
```
Er2ZnGa3Pt4
1.0
-1.342 -0.716 3.726
3.760 0.282 1.408
-1.446 11.165 1.624
Er Zn Ga Pt
2 1 3 4
Direct
0.500 0.000 0.253
0.000 0.500 0.747
0.500 0.500 0.500
0.000 0.000 0.500
0.500 0.000 0.866
0.000 0.500 0.134
0.500 0.500 0.000
0.000 0.000 0.000
0.500 0.000 0.649
0.000 0.500 0.351
```

Computed properties:
Formation energy from the elements in meV per atom: -911



Record 2
VASP calculation (PBE) on an optimized crystal structure of AcInAg.

Geometry as POSCAR:
```
AcInAg
1.0
5.125 0.000 0.000
2.563 4.439 0.000
2.563 1.480 4.185
Ac Ag In
1 1 1
Direct
0.000 0.000 0.000
0.250 0.250 0.250
0.500 0.500 0.500
```

Computed properties:
Formation energy from the elements in meV per atom: -283
Offset from the most stable computed form in meV per atom: 114.9



Record 3
VASP calculation (PBE) on an optimized crystal structure of HfVI6.

Geometry as POSCAR:
```
HfVI6
1.0
6.913 0.290 0.969
1.649 5.908 3.338
0.080 -0.410 7.991
Hf V I
1 1 6
Direct
0.500 0.500 0.000
0.000 0.000 0.000
0.753 0.386 0.720
0.753 0.106 0.280
0.247 0.894 0.720
0.247 0.614 0.280
0.747 0.747 0.000
0.253 0.253 0.000
```

Computed properties:
Formation energy from raw total energies in eV per atom: -0.65



Record 4
VASP calculation (PBE) on an optimized crystal structure of CoRuPt2.

Geometry as POSCAR:
```
CoRuPt2
1.0
4.706 0.005 0.006
3.924 2.598 0.006
0.796 0.240 4.645
Co Pt Ru
1 2 1
Direct
0.754 0.754 0.749
0.005 0.005 0.986
0.246 0.246 0.264
0.495 0.495 0.501
```

Computed properties:
Formation energy from the elements in meV per atom: 13
Offset from the most stable computed form in meV per atom: 10.1



Record 5
VASP calculation (PBE) on an optimized crystal structure of NdHoPu2.

Geometry as POSCAR:
```
NdHoPu2
1.0
-4.167 2.860 -0.141
-2.323 -3.249 2.771
1.477 2.349 3.991
Nd Ho Pu
1 1 2
Direct
0.500 0.500 0.500
0.500 0.000 0.000
0.000 0.000 0.500
0.000 0.500 0.000
```

Computed properties:
Formation energy from the elements in meV per atom: 206
Offset from the most stable computed form in meV per atom: 5.7



Record 6
VASP calculation (PBE) on an optimized crystal structure of MnHg2.

Geometry as POSCAR:
```
MnHg2
1.0
-1.556 2.647 -0.552
0.377 -0.980 -5.761
-6.639 -3.856 0.222
Mn Hg
2 4
Direct
0.000 0.000 0.000
0.500 0.500 0.500
0.000 0.162 0.338
0.500 0.338 0.838
0.500 0.662 0.162
0.000 0.838 0.662
```

Computed properties:
Formation energy from the elements in meV per atom: 404



Record 7
VASP calculation (PBE) on an optimized crystal structure of TaTe3Cl.

Geometry as POSCAR:
```
TaTe3Cl
1.0
-0.186 -3.267 4.193
-4.214 -2.305 -5.596
9.195 -5.123 -1.005
Ta Te Cl
2 6 2
Direct
0.111 0.214 0.924
0.889 0.786 0.076
0.231 0.341 0.693
0.692 0.341 0.938
0.095 0.175 0.183
0.769 0.659 0.307
0.905 0.825 0.817
0.308 0.659 0.062
0.343 0.702 0.421
0.657 0.298 0.579
```

Computed properties:
Formation energy from raw total energies in eV per atom: -0.18
Offset from the most stable computed form in meV per atom: 0.0



Record 8
VASP calculation (PBE) on an optimized crystal structure of Pa2TiN4O.

Geometry as POSCAR:
```
Pa2TiN4O
1.0
-2.008 -0.202 -2.600
2.515 -2.589 -3.825
-1.635 -6.392 -0.324
Pa Ti N O
2 1 4 1
Direct
0.814 0.668 0.704
0.186 0.332 0.296
0.000 0.000 0.000
0.168 0.976 0.687
0.381 0.298 0.940
0.832 0.024 0.313
0.619 0.702 0.060
0.500 0.500 0.500
```

Computed properties:
Formation energy from raw total energies in eV per atom: -1.75



Record 9
VASP calculation (PBE) on an optimized crystal structure of Ce2TlHg3.

Geometry as POSCAR:
```
Ce2TlHg3
1.0
-1.621 2.345 1.779
-3.615 -0.233 -2.986
-1.931 -8.840 6.719
Ce Tl Hg
2 1 3
Direct
0.115 0.115 0.229
0.884 0.384 0.767
0.462 0.962 0.924
0.693 0.693 0.385
0.542 0.542 0.084
0.305 0.805 0.610
```

Computed properties:
Formation energy from the elements in meV per atom: -134
Offset from the most stable computed form in meV per atom: 98.1



Record 10
VASP calculation (PBE) on an optimized crystal structure of TbNdAlTl.

Geometry as POSCAR:
```
TbNdAlTl
1.0
5.340 0.000 0.000
2.670 4.625 0.000
2.670 1.542 4.360
Nd Tl Tb Al
1 1 1 1
Direct
0.750 0.750 0.750
0.000 0.000 0.000
0.250 0.250 0.250
0.500 0.500 0.500
```

Computed properties:
Formation energy from the elements in meV per atom: -343
Offset from the most stable computed form in meV per atom: 25.0



Record 11
VASP calculation (PBE) on an optimized crystal structure of YThRuAu.

Geometry as POSCAR:
```
YThRuAu
1.0
5.068 0.000 0.000
2.534 4.389 0.000
2.534 1.463 4.138
Y Ru Au Th
1 1 1 1
Direct
0.000 0.000 0.000
0.750 0.750 0.750
0.250 0.250 0.250
0.500 0.500 0.500
```

Computed properties:
Formation energy from the elements in meV per atom: -499



Record 12
VASP calculation (PBE) on an optimized crystal structure of Ta3C.

Geometry as POSCAR:
```
Ta3C
1.0
-1.808 -3.653 1.430
2.806 0.700 3.208
-2.275 1.755 1.607
C Ta
1 3
Direct
0.000 0.000 0.000
0.000 0.500 0.500
0.500 0.000 0.500
0.500 0.500 0.000
```

Computed properties:
Formation energy from the elements in meV per atom: 831
Offset from the most stable computed form in meV per atom: 1193.4



Record 13
VASP calculation (PBE) on an optimized crystal structure of HfAsPSe2.

Geometry as POSCAR:
```
HfAsPSe2
1.0
-1.762 -4.414 -0.482
4.324 -1.824 0.894
-0.979 -0.103 4.525
P As Hf Se
1 1 1 2
Direct
0.000 0.000 0.000
0.000 0.000 0.500
0.500 0.500 0.500
0.000 0.500 0.000
0.500 0.000 0.000
```

Computed properties:
Formation energy from raw total energies in eV per atom: 0.34
Offset from the most stable computed form in meV per atom: 0.0



Record 14
VASP calculation (PBE) on an optimized crystal structure of Ba3Tl9In2.

Geometry as POSCAR:
```
Ba3Tl9In2
1.0
-5.099 0.207 0.288
-3.218 -6.425 -6.990
-2.617 -8.289 4.995
Ba Tl In
3 9 2
Direct
0.000 0.000 0.000
0.688 0.312 0.312
0.312 0.688 0.688
0.000 0.500 0.500
0.657 0.971 0.715
0.343 0.029 0.285
0.657 0.715 0.971
0.343 0.285 0.029
0.855 0.866 0.424
0.145 0.134 0.576
0.855 0.424 0.866
0.145 0.576 0.134
0.500 0.302 0.698
0.500 0.698 0.302
```

Computed properties:
Formation energy from the elements in meV per atom: -266



Record 15
VASP calculation (PBE) on an optimized crystal structure of CsInSi.

Geometry as POSCAR:
```
CsInSi
1.0
8.252 0.000 -0.009
0.000 3.936 0.000
-7.926 0.000 13.945
Cs Si In
4 4 4
Direct
0.433 0.000 0.878
0.433 0.500 0.378
0.779 0.000 0.207
0.779 0.500 0.707
0.233 0.000 0.501
0.233 0.500 0.001
0.025 0.000 0.930
0.025 0.500 0.430
0.248 0.000 0.140
0.248 0.500 0.640
0.899 0.000 0.521
0.899 0.500 0.021
```

Computed properties:
Formation energy from raw total energies in eV per atom: 0.02



Record 16
VASP calculation (PBE) on an optimized crystal structure of Sc2S2Cl.

Geometry as POSCAR:
```
Sc2S2Cl
1.0
3.741 0.000 0.000
0.000 5.077 0.000
-1.870 -2.538 5.634
Sc S Cl
2 2 1
Direct
0.680 0.180 0.360
0.320 0.820 0.640
0.331 0.331 0.663
0.669 0.669 0.337
0.000 0.000 0.000
```

Computed properties:
Formation energy from raw total energies in eV per atom: -1.88
Offset from the most stable computed form in meV per atom: 75.3



Record 17
VASP calculation (PBE) on an optimized crystal structure of Zr4TlCl.

Geometry as POSCAR:
```
Zr4TlCl
1.0
-2.444 -2.505 4.723
-3.975 -4.279 -0.668
1.370 -5.534 1.432
Zr Tl Cl
4 1 1
Direct
0.882 0.373 0.373
0.373 0.373 0.882
0.373 0.882 0.373
0.373 0.373 0.373
0.000 0.000 0.000
0.750 0.750 0.750
```

Computed properties:
Formation energy from raw total energies in eV per atom: 0.33



Record 18
VASP calculation (PBE) on an optimized crystal structure of DyAs2Pd8.

Geometry as POSCAR:
```
DyAs2Pd8
1.0
4.523 -0.100 -0.150
-0.891 6.754 -0.040
-0.891 -2.638 6.218
Dy As Pd
1 2 8
Direct
0.500 0.000 0.000
0.000 0.323 0.677
0.000 0.677 0.323
0.908 0.935 0.679
0.908 0.679 0.935
0.319 0.616 0.616
0.500 0.751 0.249
0.500 0.249 0.751
0.681 0.384 0.384
0.092 0.321 0.065
0.092 0.065 0.321
```

Computed properties:
Formation energy from the elements in meV per atom: -512



Record 19
VASP calculation (PBE) on an optimized crystal structure of LaMo2Au.

Geometry as POSCAR:
```
LaMo2Au
1.0
5.772 -0.002 -0.035
-2.813 5.040 -0.035
0.552 0.940 2.669
Au La Mo
1 1 2
Direct
0.500 0.000 0.500
0.000 0.500 0.500
0.000 0.000 0.000
0.500 0.500 0.000
```

Computed properties:
Formation energy from the elements in meV per atom: 505
Offset from the most stable computed form in meV per atom: 415.1



Record 20
VASP calculation (PBE) on an optimized crystal structure of ZnCu2Br.

Geometry as POSCAR:
```
ZnCu2Br
1.0
6.392 0.018 0.005
4.450 4.589 -0.005
-5.312 -2.561 2.467
Br Cu Zn
1 2 1
Direct
0.213 0.713 0.500
0.988 0.988 0.000
0.825 0.325 0.500
0.473 0.473 0.000
```

Computed properties:
Formation energy from raw total energies in eV per atom: 0.12
Offset from the most stable computed form in meV per atom: 74.8